A plane-wave DFT calculation with PBEsol was carried out for a relaxed structure of MgMn2Zn.

abc: 2.770 4.684 4.765
angles: 103.16 106.90 90.00
Fractional positions:
Mg 0.751 0.255 0.503
Mn 0.989 0.973 0.978
Mn 0.250 0.761 0.500
Zn 0.510 0.510 0.019

Properties
energy of formation: 0.33 eV/atom
symmetry: Cm (8)
uncorrected energy: -21.50 eV per cell